[1]
CoSe2I2 | PBE | relaxed

Summary:
ρ: 4.63 Mg/m³
Total magnetic moment: 2.41 μB/f.u.
Total DFT energy (no corrections): -3.059 eV/atom
Formation energy from raw total energies: 376 meV/atom

Cell: 6.1760 6.1760 6.2163 Å, 60.21 60.21 90.00°
Site moments in Bohr magnetons follow the coordinates.
Fractional positions:
Se  0.2541  0.2541  0.4918  0.05
Se  0.7459  0.7459  0.5082  0.05
I  0.7500  0.2500  0.5000  0.02
I  0.2500  0.7500  0.5000  0.02
Co  0.0000  0.0000  0.0000  2.08

---

[2]
CoSeI2 | PBE | relaxed

Summary:
ρ: 5.36 Mg/m³
Total magnetic moment: 0.98 μB/f.u.
Total DFT energy (no corrections): -2.955 eV/atom
Formation energy from raw total energies: 467 meV/atom

Cell: 7.1336 7.1336 6.9418 Å, 59.08 59.08 90.00°
Site moments in Bohr magnetons follow the coordinates.
Fractional positions:
I  0.1933  0.6250  0.2500  0.01
I  0.3750  0.4433  0.7500  0.02
I  0.8750  0.8067  0.7500  0.02
I  0.5567  0.1250  0.2500  0.01
Se  0.7500  0.2500  0.5000  -0.42
Se  0.0000  0.0000  0.0000  -0.41
Co  0.5000  0.5000  0.0000  1.53
Co  0.2500  0.7500  0.5000  1.51

---

[3]
Co3Se3I | PBE | relaxed

Summary:
ρ: 5.66 Mg/m³
Total magnetic moment: 0.00 μB/f.u.
Total DFT energy (no corrections): -4.748 eV/atom
Formation energy from raw total energies: 13 meV/atom

Cell: 4.7665 8.7667 8.7667 Å, 120.00 90.00 90.00°
Fractional positions:
Co  0.7500  0.1590  0.8400
Co  0.7500  0.1600  0.3190
Co  0.2500  0.8410  0.1600
Co  0.2500  0.8400  0.6810
Co  0.2500  0.3190  0.1590
Co  0.7500  0.6810  0.8410
I  0.2500  0.6667  0.3333
I  0.7500  0.3333  0.6667
Se  0.2500  0.1405  0.8586
Se  0.7500  0.8595  0.1414
Se  0.2500  0.7181  0.8595
Se  0.2500  0.1414  0.2819
Se  0.7500  0.8586  0.7181
Se  0.7500  0.2819  0.1405

---

[4]
CoSe2I2 | PBE | relaxed

Summary:
ρ: 4.31 Mg/m³
Total magnetic moment: 0.96 μB/f.u.
Total DFT energy (no corrections): -3.419 eV/atom
Formation energy from raw total energies: 16 meV/atom

Cell: 8.5743 6.9270 9.5693 Å, 68.82 54.28 51.76°
Site moments in Bohr magnetons follow the coordinates.
Fractional positions:
Se  0.2535  0.0000  0.9537  0.07
Se  0.8379  0.0000  0.2313  -0.05
Se  0.7465  0.0000  0.0463  0.07
Se  0.1621  0.0000  0.7687  -0.05
Co  0.1435  0.7131  0.0000  0.80
Co  0.8565  0.2869  0.0000  0.80
I  0.5089  0.6147  0.2331  0.03
I  0.8764  0.6147  0.7669  0.03
I  0.4911  0.3853  0.7669  0.03
I  0.1236  0.3853  0.2331  0.03

---

[5]
CoSe2I | PBE | relaxed

Summary:
ρ: 5.46 Mg/m³
Total magnetic moment: 0.00 μB/f.u.
Total DFT energy (no corrections): -3.826 eV/atom
Formation energy from raw total energies: 80 meV/atom

Cell: 6.6284 6.6284 6.6825 Å, 60.27 60.27 90.00°
Fractional positions:
Se  0.5126  0.1250  0.2500
Se  0.2374  0.6250  0.2500
Se  0.3750  0.4874  0.7500
Se  0.8750  0.7626  0.7500
I  0.7500  0.2500  0.5000
I  0.0000  0.0000  0.0000
Co  0.5000  0.5000  0.0000
Co  0.2500  0.7500  0.5000

---

[6]
CoSeI2 | PBE | relaxed

Summary:
ρ: 6.61 Mg/m³
Total magnetic moment: 1.38 μB/f.u.
Total DFT energy (no corrections): -2.509 eV/atom
Formation energy from raw total energies: 914 meV/atom

Cell: 5.1822 5.1822 5.1822 Å, 60.00 60.00 60.00°
Site moments in Bohr magnetons follow the coordinates.
Fractional positions:
Co  0.0000  0.0000  0.0000  2.07
I  0.2500  0.2500  0.2500  -0.01
I  0.7500  0.7500  0.7500  -0.01
Se  0.5000  0.5000  0.5000  -0.42

---

Repeat the fifth record exactly.
CoSe2I | PBE | relaxed

Summary:
ρ: 5.46 Mg/m³
Total magnetic moment: 0.00 μB/f.u.
Total DFT energy (no corrections): -3.826 eV/atom
Formation energy from raw total energies: 80 meV/atom

Cell: 6.6284 6.6284 6.6825 Å, 60.27 60.27 90.00°
Fractional positions:
Se  0.5126  0.1250  0.2500
Se  0.2374  0.6250  0.2500
Se  0.3750  0.4874  0.7500
Se  0.8750  0.7626  0.7500
I  0.7500  0.2500  0.5000
I  0.0000  0.0000  0.0000
Co  0.5000  0.5000  0.0000
Co  0.2500  0.7500  0.5000